First-principles (meta-GGA SCAN) data for a PBEsol-optimized structure of SrLiFe2, as listed in the Alexandria database.

**Energy of formation from the pure elements**: 0.443 eV per atom
**Uncorrected energy**: -14.79 eV/atom

Lattice parameters (Å, degrees): 3.1887 3.1887 7.6574 90.00 90.00 90.00
Space group P4mm (No. 99)
Symmetry-distinct sites (fractional):
Sr: 0.0000 0.0000 0.0000
Li: 0.5000 0.5000 0.3788
Fe: 0.0000 0.0000 0.5963
Fe: 0.5000 0.5000 0.7105